{
  "formula": "PmSmSbN",
  "functional": "PBE",
  "state": "relaxed",
  "space_group": "Imm2, No. 44",
  "total_energy_ev_per_cell": -26.181,
  "e_form_raw_mev_per_atom": -1066,
  "cell": [[-1.8426, 1.8564, 7.1904], [1.8426, -1.8564, 7.1904], [1.8426, 1.8564, -7.1904]],
  "species": ["Pm", "Sm", "Sb", "N"],
  "frac_coords": [[0.0000, 0.0000, 0.0000], [0.3035, 0.3035, 0.0000], [0.6526, 0.6526, 0.0000], [0.4014, 0.9014, 0.5000]]
}

=====

{
  "formula": "Pm4SnSbN",
  "functional": "PBE",
  "state": "relaxed",
  "space_group": "Cmcm, No. 63",
  "total_energy_ev_per_cell": -84.623,
  "e_form_raw_mev_per_atom": -980,
  "cell": [[3.4206, -8.2330, 0.0000], [3.4206, 8.2330, 0.0000], [0.0000, 0.0000, 6.8348]],
  "species": ["Pm", "Pm", "Pm", "Pm", "Pm", "Pm", "Pm", "Pm", "Sn", "Sn", "Sb", "Sb", "N", "N"],
  "frac_coords": [[0.0000, 0.5000, 0.0000], [0.0000, 0.5000, 0.5000], [0.0878, 0.9122, 0.7500], [0.4117, 0.5883, 0.7500], [0.5000, 0.0000, 0.0000], [0.5000, 0.0000, 0.5000], [0.5883, 0.4117, 0.2500], [0.9122, 0.0878, 0.2500], [0.1075, 0.8925, 0.2500], [0.8925, 0.1075, 0.7500], [0.3913, 0.6087, 0.2500], [0.6087, 0.3913, 0.7500], [0.2499, 0.7501, 0.7500], [0.7501, 0.2499, 0.2500]]
}

=====

{
  "formula": "TbPm2SbN4",
  "functional": "PBE",
  "state": "relaxed",
  "space_group": "P2/m, No. 10",
  "total_energy_ev_per_cell": -58.966,
  "e_form_raw_mev_per_atom": -926,
  "cell": [[6.1612, 0.0000, 0.0000], [0.0000, 3.5655, 0.0000], [-2.0582, 0.0000, 5.8460]],
  "species": ["Tb", "Pm", "Pm", "Sb", "N", "N", "N", "N"],
  "frac_coords": [[0.0000, 0.0000, 0.0000], [0.5000, 0.0000, 0.5000], [0.5000, 0.5000, 0.0000], [0.0000, 0.5000, 0.5000], [0.2488, 0.5000, 0.2414], [0.2547, 0.0000, 0.7602], [0.7453, 0.0000, 0.2398], [0.7512, 0.5000, 0.7586]]
}